# 1
SrTa2Ru: PBEsol geometry, SCAN.

Cell: 5.667 5.667 2.857 Å, 98.76 98.76 121.17°
Fractional positions:
Sr1 0.000 0.000 0.000
Ta1 0.000 0.500 0.500
Ta2 0.500 0.000 0.500
Ru1 0.500 0.500 0.000

Summary:
As for the theoretical density: 12248 kg/m3. The calculation puts the magnetization at 0.23 μB per formula unit. Its formation energy is 3.485 eV/f.u. The calculation puts the distance to the lowest polymorph of the same formula at 0.399 eV/atom.

---

# 2
Sr2TaRu: PBEsol geometry, SCAN.

Cell: 5.618 5.618 3.043 Å, 90.00 90.00 90.00°
Fractional positions:
Sr1 0.000 0.500 0.000
Sr2 0.500 0.000 0.000
Ta1 0.000 0.000 0.500
Ru1 0.500 0.500 0.500

Summary:
As for the theoretical density: 7904 kg/m3. The calculation puts the magnetization at 2.53 μB per formula unit. Its formation energy is 5.394 eV/f.u.

---

# 3
SrTc2Ru: PBEsol geometry, SCAN.

Cell: 3.123 3.123 7.464 Å, 90.00 90.00 90.00°
Fractional positions:
Sr1 0.000 0.000 0.000
Tc1 0.000 0.000 0.497
Tc2 0.500 0.500 0.333
Ru1 0.500 0.500 0.694

Summary:
As for the theoretical density: 8776 kg/m3. The calculation puts the magnetization at 0.00 μB per formula unit. Its formation energy is 2.152 eV/f.u.

---

# 4
SrTcRu: PBEsol geometry, SCAN.

Cell: 4.496 4.496 4.496 Å, 60.00 60.00 60.00°
Fractional positions:
Sr1 0.000 0.000 0.000
Tc1 0.250 0.250 0.250
Ru1 0.750 0.750 0.750

Summary:
As for the theoretical density: 7409 kg/m3. The calculation puts the magnetization at 3.41 μB per formula unit. Its formation energy is 6.717 eV/f.u.

---

# 5
SrTcTeRu2: PBEsol geometry, SCAN.

Cell: 4.690 4.690 5.731 Å, 90.00 90.00 90.00°
Fractional positions:
Sr1 0.000 0.000 0.000
Tc1 0.500 0.500 0.500
Te1 0.000 0.000 0.500
Ru1 0.000 0.500 0.000
Ru2 0.500 0.000 0.000

Summary:
For the uncorrected formation energy, the calculation gives 243 kJ/mol of atoms. As for the theoretical density: 6788 kg/m3. The calculation puts the magnetization at 7.39 μB per formula unit.

---

# 6
Sr2TeRu: PBEsol geometry, SCAN.

Cell: 7.005 7.005 7.005 Å, 150.30 137.92 52.35°
Fractional positions:
Sr1 0.000 0.000 0.000
Sr2 0.712 0.212 0.500
Te1 0.325 0.825 0.500
Ru1 0.475 0.475 0.000

Summary:
For the uncorrected formation energy, the calculation gives -36 kJ/mol of atoms. As for the theoretical density: 5906 kg/m3. The calculation puts the magnetization at 0.00 μB per formula unit.

---

# 7
Sr2TlRu: PBEsol geometry, SCAN.

Cell: 4.419 6.241 6.241 Å, 43.36 90.00 90.00°
Fractional positions:
Sr1 0.000 0.000 0.000
Sr2 0.500 0.284 0.284
Tl1 0.000 0.707 0.707
Ru1 0.500 0.577 0.577

Summary:
As for the theoretical density: 6755 kg/m3. The calculation puts the magnetization at 0.00 μB per formula unit. Its formation energy is 0.108 eV/f.u.

---

# 8
SrTlRu: PBEsol geometry, SCAN.

Cell: 4.659 4.659 3.976 Å, 90.00 90.00 120.00°
Fractional positions:
Sr1 0.000 0.000 0.000
Tl1 0.667 0.333 0.500
Ru1 0.333 0.667 0.500

Summary:
As for the theoretical density: 8731 kg/m3. The calculation puts the magnetization at 0.00 μB per formula unit. Its formation energy is 0.624 eV/f.u.

---

# 9
SrTlRu2: PBEsol geometry, SCAN.

Cell: 4.769 4.769 4.769 Å, 119.02 119.02 91.71°
Fractional positions:
Sr1 0.000 0.000 0.000
Tl1 0.250 0.750 0.500
Ru1 0.500 0.500 0.000
Ru2 0.750 0.250 0.500

Summary:
As for the theoretical density: 10548 kg/m3. The calculation puts the magnetization at 2.72 μB per formula unit. Its formation energy is 2.772 eV/f.u.

---

# 10
SrTlRu3: PBEsol geometry, SCAN.

Cell: 4.990 4.990 4.990 Å, 90.00 90.00 90.00°
Fractional positions:
Sr1 0.000 0.000 0.000
Tl1 0.500 0.500 0.500
Ru1 0.000 0.500 0.500
Ru2 0.500 0.000 0.500
Ru3 0.500 0.500 0.000

Summary:
As for the theoretical density: 7955 kg/m3. The calculation puts the magnetization at 4.83 μB per formula unit. Its formation energy is 8.227 eV/f.u.

---

# 11
Sr2TlRu: PBEsol geometry, SCAN.

Cell: 5.300 5.300 5.300 Å, 60.00 60.00 60.00°
Fractional positions:
Sr1 0.250 0.250 0.250
Sr2 0.750 0.750 0.750
Tl1 0.000 0.000 0.000
Ru1 0.500 0.500 0.500

Summary:
As for the theoretical density: 7581 kg/m3. The calculation puts the magnetization at 0.00 μB per formula unit. Its formation energy is 0.772 eV/f.u.

---

# 12
Sr3RuW: PBEsol geometry, SCAN.

Cell: 5.478 5.478 5.478 Å, 90.00 90.00 90.00°
Fractional positions:
Sr1 0.000 0.000 0.500
Sr2 0.000 0.500 0.000
Sr3 0.500 0.000 0.000
Ru1 0.000 0.000 0.000
W1 0.500 0.500 0.500

Summary:
As for the theoretical density: 5533 kg/m3. The calculation puts the magnetization at 4.39 μB per formula unit. Its formation energy is 7.019 eV/f.u.

---

# 13
SrYRu2: PBEsol geometry, SCAN.

Cell: 4.855 4.855 3.393 Å, 90.00 90.00 90.00°
Fractional positions:
Sr1 0.000 0.000 0.000
Y1 0.500 0.500 0.000
Ru1 0.000 0.500 0.500
Ru2 0.500 0.000 0.500

Summary:
As for the theoretical density: 7864 kg/m3. The calculation puts the magnetization at 0.00 μB per formula unit. Its formation energy is 1.425 eV/f.u.

---

# 14
SrYRu2: PBEsol geometry, SCAN.

Cell: 4.636 4.636 6.438 Å, 98.75 98.75 40.61°
Fractional positions:
Sr1 0.000 0.000 0.000
Y1 0.500 0.500 0.500
Ru1 0.245 0.245 0.673
Ru2 0.755 0.755 0.327

Summary:
As for the theoretical density: 7075 kg/m3. The calculation puts the magnetization at 0.00 μB per formula unit. Its formation energy is 1.461 eV/f.u.

---

# 15
SrZnRu: PBEsol geometry, SCAN.

Cell: 4.516 4.516 4.516 Å, 60.00 60.00 60.00°
Fractional positions:
Sr1 0.000 0.000 0.000
Zn1 0.500 0.500 0.500
Ru1 0.250 0.250 0.250

Summary:
As for the theoretical density: 6477 kg/m3. The calculation puts the magnetization at 0.00 μB per formula unit. Its formation energy is 1.638 eV/f.u.

---

# 16
SrZnRu: PBEsol geometry, SCAN.

Cell: 5.722 5.722 5.722 Å, 145.20 145.20 50.04°
Fractional positions:
Sr1 0.000 0.000 0.000
Zn1 0.721 0.721 0.000
Ru1 0.290 0.290 0.000

Summary:
As for the theoretical density: 6947 kg/m3. The calculation puts the magnetization at 0.00 μB per formula unit. Its formation energy is 0.353 eV/f.u.

---

# 17
SrZn3Ru: PBEsol geometry, SCAN.

Cell: 4.767 4.767 4.767 Å, 90.00 90.00 90.00°
Fractional positions:
Sr1 0.000 0.000 0.000
Zn1 0.000 0.500 0.500
Zn2 0.500 0.000 0.500
Zn3 0.500 0.500 0.000
Ru1 0.500 0.500 0.500

Summary:
As for the theoretical density: 5900 kg/m3. The calculation puts the magnetization at 0.00 μB per formula unit. Its formation energy is -0.750 eV/f.u.

---

# 18
SrZrRu3: PBEsol geometry, SCAN.

Cell: 4.646 4.646 4.646 Å, 90.00 90.00 90.00°
Fractional positions:
Sr1 0.000 0.000 0.000
Zr1 0.500 0.500 0.500
Ru1 0.000 0.000 0.500
Ru2 0.000 0.500 0.000
Ru3 0.500 0.000 0.000

Summary:
As for the theoretical density: 7982 kg/m3. The calculation puts the magnetization at 1.79 μB per formula unit. Its formation energy is 10.854 eV/f.u.

---

# 19
Sr4ZrRu: PBEsol geometry, SCAN.

Cell: 6.483 6.483 6.483 Å, 60.00 60.00 60.00°
Fractional positions:
Sr1 0.376 0.376 0.376
Sr2 0.376 0.376 0.873
Sr3 0.376 0.873 0.376
Sr4 0.873 0.376 0.376
Zr1 0.000 0.000 0.000
Ru1 0.750 0.750 0.750

Summary:
As for the theoretical density: 4679 kg/m3. The calculation puts the magnetization at 3.46 μB per formula unit. Its formation energy is 8.050 eV/f.u.

---

# 20
Ta3Ru5: PBEsol geometry, SCAN.

Cell: 5.405 5.405 4.147 Å, 90.00 90.00 99.59°
Fractional positions:
Ta1 0.000 0.000 0.000
Ta2 0.287 0.713 0.500
Ta3 0.713 0.287 0.500
Ru1 0.000 0.500 0.000
Ru2 0.218 0.218 0.500
Ru3 0.500 0.000 0.000
Ru4 0.500 0.500 0.000
Ru5 0.782 0.782 0.500

Summary:
As for the theoretical density: 14572 kg/m3. The calculation puts the magnetization at 0.00 μB per formula unit. Its formation energy is -3.185 eV/f.u.

---

# 21
Ta4Ru: PBEsol geometry, SCAN.

Cell: 5.348 5.348 5.348 Å, 95.13 95.13 145.20°
Fractional positions:
Ta1 0.097 0.295 0.392
Ta2 0.295 0.903 0.199
Ta3 0.705 0.097 0.801
Ta4 0.903 0.705 0.608
Ru1 0.500 0.500 0.000

Summary:
As for the theoretical density: 16442 kg/m3. The calculation puts the magnetization at 0.00 μB per formula unit. Its formation energy is -1.344 eV/f.u.

---

# 22
Ta3Ru2: PBEsol geometry, SCAN.

Cell: 10.751 10.751 10.751 Å, 15.91 15.91 15.91°
Fractional positions:
Ta1 0.000 0.000 0.000
Ta2 0.203 0.203 0.203
Ta3 0.797 0.797 0.797
Ru1 0.399 0.399 0.399
Ru2 0.601 0.601 0.601

Summary:
As for the theoretical density: 15203 kg/m3. The calculation puts the magnetization at 0.00 μB per formula unit. Its formation energy is -0.216 eV/f.u. The calculation puts the distance to the lowest polymorph of the same formula at 0.298 eV/atom.

---

# 23
Ta3Ru: PBEsol geometry, SCAN.

Cell: 5.539 5.539 4.522 Å, 90.00 90.00 109.12°
Fractional positions:
Ta1 0.123 0.877 0.750
Ta2 0.129 0.378 0.750
Ta3 0.378 0.129 0.250
Ta4 0.622 0.871 0.750
Ta5 0.871 0.622 0.250
Ta6 0.877 0.123 0.250
Ru1 0.374 0.626 0.250
Ru2 0.626 0.374 0.750

Summary:
As for the theoretical density: 16315 kg/m3. The calculation puts the magnetization at 0.00 μB per formula unit. Its formation energy is -1.244 eV/f.u.

---

# 24
TaRu5: PBEsol geometry, SCAN.

Cell: 5.106 5.106 6.413 Å, 103.27 103.27 31.10°
Fractional positions:
Ta1 0.000 0.000 0.000
Ru1 0.274 0.274 0.052
Ru2 0.330 0.330 0.658
Ru3 0.615 0.615 0.713
Ru4 0.671 0.671 0.334
Ru5 0.945 0.945 0.391

Summary:
As for the theoretical density: 13588 kg/m3. The calculation puts the magnetization at 0.00 μB per formula unit. Its formation energy is -0.601 eV/f.u.

---

# 25
Ta8Ru: PBEsol geometry, SCAN.

Cell: 7.079 7.079 7.079 Å, 92.99 92.99 153.60°
Fractional positions:
Ta1 0.000 0.333 0.333
Ta2 0.000 0.667 0.667
Ta3 0.333 0.000 0.333
Ta4 0.337 0.337 0.674
Ta5 0.337 0.663 0.000
Ta6 0.663 0.337 0.000
Ta7 0.663 0.663 0.326
Ta8 0.667 0.000 0.667
Ru1 0.000 0.000 0.000

Summary:
As for the theoretical density: 16747 kg/m3. The calculation puts the magnetization at 0.00 μB per formula unit. Its formation energy is -1.439 eV/f.u.

---

# 26
Ta3Ru2: PBEsol geometry, SCAN.

Cell: 3.186 3.186 15.631 Å, 90.00 90.00 90.00°
Fractional positions:
Ta1 0.000 0.000 0.000
Ta2 0.000 0.000 0.195
Ta3 0.000 0.000 0.395
Ta4 0.000 0.000 0.605
Ta5 0.000 0.000 0.805
Ta6 0.500 0.500 0.500
Ru1 0.500 0.500 0.097
Ru2 0.500 0.500 0.291
Ru3 0.500 0.500 0.709
Ru4 0.500 0.500 0.903

Summary:
As for the theoretical density: 15596 kg/m3. The calculation puts the magnetization at 0.00 μB per formula unit. Its formation energy is -1.706 eV/f.u. The calculation puts the distance to the lowest polymorph of the same formula at 0.000 eV/atom.

---

# 27
TaRu5: PBEsol geometry, SCAN.

Cell: 4.732 4.732 4.324 Å, 90.00 90.00 120.00°
Fractional positions:
Ta1 0.000 0.000 0.000
Ru1 0.000 0.653 0.500
Ru2 0.333 0.667 0.000
Ru3 0.347 0.347 0.500
Ru4 0.653 0.000 0.500
Ru5 0.667 0.333 0.000

Summary:
As for the theoretical density: 13589 kg/m3. The calculation puts the magnetization at 0.00 μB per formula unit. Its formation energy is -0.688 eV/f.u.

---

# 28
Ta3Ru: PBEsol geometry, SCAN.

Cell: 3.184 3.184 6.502 Å, 90.00 90.00 90.00°
Fractional positions:
Ta1 0.000 0.000 0.000
Ta2 0.500 0.500 0.257
Ta3 0.500 0.500 0.743
Ru1 0.000 0.000 0.500

Summary:
As for the theoretical density: 16220 kg/m3. The calculation puts the magnetization at 0.00 μB per formula unit. Its formation energy is -1.289 eV/f.u.

---

# 29
TaRu7: PBEsol geometry, SCAN.

Cell: 5.385 5.385 5.385 Å, 60.00 60.00 60.00°
Fractional positions:
Ta1 0.000 0.000 0.000
Ru1 0.000 0.000 0.500
Ru2 0.000 0.500 0.000
Ru3 0.000 0.500 0.500
Ru4 0.500 0.000 0.000
Ru5 0.500 0.000 0.500
Ru6 0.500 0.500 0.000
Ru7 0.500 0.500 0.500

Summary:
As for the theoretical density: 13360 kg/m3. The calculation puts the magnetization at 0.00 μB per formula unit. Its formation energy is -0.293 eV/f.u.